Density functional theory data (GGA-PBE) for a relaxed PrDy5Th4 crystal.

Computed properties:
Symmetry ... C2/m (12)
Mass density ... 9.74 Mg/m³
ΔH_f (0 K) ... 0.034 eV per atom
Magnetization ... 0.00 μB/cell

a b c (Å): 3.5846 7.9443 12.7886
angles (deg): 111.18 81.94 76.96
Positions (direct):
Pr (0.0000, 0.0000, 0.0000)
Th (0.1952, 0.4056, 0.2040)
Th (0.4001, 0.8001, 0.3997)
Th (0.8048, 0.5944, 0.7960)
Th (0.5999, 0.1999, 0.6003)
Dy (0.0000, 0.5000, 0.5000)
Dy (0.6028, 0.6924, 0.1021)
Dy (0.3972, 0.3076, 0.8979)
Dy (0.2027, 0.8988, 0.6959)
Dy (0.7973, 0.1012, 0.3041)

---

Density functional theory data (GGA-PBE) for a relaxed PrDyTh2 crystal.

Computed properties:
Symmetry ... R-3m (166)
Mass density ... 9.53 Mg/m³
ΔH_f (0 K) ... 0.192 eV per atom
Offset from the most stable computed form ... 162 meV/atom
Magnetization ... 0.00 μB/cell

a b c (Å): 3.5178 3.5178 12.6462
angles (deg): 82.00 82.00 60.00
Positions (direct):
Dy (0.5000, 0.5000, 0.5000)
Th (0.0887, 0.0887, 0.7339)
Th (0.9113, 0.9113, 0.2661)
Pr (0.0000, 0.0000, 0.0000)

---

Density functional theory data (GGA-PBE) for a relaxed Pr12Dy5Th2 crystal.

Computed properties:
Symmetry ... C2/m (12)
Mass density ... 7.23 Mg/m³
ΔH_f (0 K) ... 0.237 eV per atom
Magnetization ... 0.00 μB/cell

a b c (Å): 9.2274 10.2390 8.6431
angles (deg): 71.59 90.00 116.78
Positions (direct):
Dy (0.0000, 0.0000, 0.5000)
Dy (0.7375, 0.4749, 0.2457)
Dy (0.2625, 0.5251, 0.7543)
Dy (0.3059, 0.6118, 0.1855)
Dy (0.6941, 0.3882, 0.8145)
Pr (0.0867, 0.7043, 0.4588)
Pr (0.4650, 0.9300, 0.6995)
Pr (0.3305, 0.2891, 0.1182)
Pr (0.0606, 0.1211, 0.8285)
Pr (0.3825, 0.2957, 0.5412)
Pr (0.6695, 0.7109, 0.8818)
Pr (0.9585, 0.2891, 0.1182)
Pr (0.9133, 0.2957, 0.5412)
Pr (0.9394, 0.8789, 0.1715)
Pr (0.6175, 0.7043, 0.4588)
Pr (0.0415, 0.7109, 0.8818)
Pr (0.5350, 0.0700, 0.3005)
Th (0.6704, 0.0000, 0.0000)
Th (0.3296, 0.0000, 0.0000)

---

- Which of these has the highest mass density?
  PrDy5Th4

---

- Which formula does entry 3 have?
  Pr12Dy5Th2

---

- Which value of mass density does entry 2 give?
  9.53 Mg/m³